[1]
Material: Er4TlPb2
Method: DFT, PBE
State: relaxed

```
data_Er4TlPb2
_chemical_formula_sum 'Er8 Tl2 Pb4'
_space_group_name_H-M_alt 'P 1'
_space_group_IT_number 1
_cell_length_a 6.113
_cell_length_b 6.676
_cell_length_c 10.351
_cell_angle_alpha 90.00
_cell_angle_beta 103.70
_cell_angle_gamma 90.00
loop_
_space_group_symop_operation_xyz
'x,y,z'
loop_
_atom_site_label
_atom_site_fract_x
_atom_site_fract_y
_atom_site_fract_z
Er1 0.521 0.502 0.265
Er2 0.025 0.750 0.837
Er3 0.975 0.250 0.163
Er4 0.521 0.998 0.265
Er5 0.859 0.250 0.540
Er6 0.479 0.002 0.735
Er7 0.479 0.498 0.735
Er8 0.141 0.750 0.460
Tl1 0.067 0.750 0.158
Tl2 0.933 0.250 0.842
Pb1 0.580 0.750 0.003
Pb2 0.420 0.250 0.997
Pb3 0.307 0.250 0.463
Pb4 0.693 0.750 0.537
```

Summary:
Its density of states at the Fermi level is 5.81 states/eV/f.u. Its total magnetization is 0.0 μB/f.u.

=====

[2]
Material: Er5Tl2Pb2
Method: DFT, PBE
State: relaxed

```
data_Er5Tl2Pb2
_chemical_formula_sum 'Er10 Tl4 Pb4'
_space_group_name_H-M_alt 'P 1'
_space_group_IT_number 1
_cell_length_a 8.061
_cell_length_b 8.164
_cell_length_c 8.847
_cell_angle_alpha 117.48
_cell_angle_beta 90.00
_cell_angle_gamma 90.00
loop_
_space_group_symop_operation_xyz
'x,y,z'
loop_
_atom_site_label
_atom_site_fract_x
_atom_site_fract_y
_atom_site_fract_z
Er1 0.000 0.000 0.000
Er2 0.500 0.500 0.000
Er3 0.830 0.809 0.274
Er4 0.170 0.465 0.274
Er5 0.330 0.965 0.274
Er6 0.670 0.309 0.274
Er7 0.170 0.191 0.726
Er8 0.830 0.535 0.726
Er9 0.670 0.035 0.726
Er10 0.330 0.691 0.726
Tl1 0.631 0.869 0.000
Tl2 0.369 0.131 0.000
Tl3 0.131 0.631 0.000
Tl4 0.869 0.369 0.000
Pb1 0.000 0.208 0.417
Pb2 0.500 0.708 0.417
Pb3 0.000 0.792 0.583
Pb4 0.500 0.292 0.583
```

Summary:
Its density of states at the Fermi level is 5.61 states/eV/f.u. Its total magnetization is 0.0 μB/f.u.

=====

[3]
Material: Er5TlPb2
Method: DFT, PBE
State: relaxed

```
data_Er5TlPb2
_chemical_formula_sum 'Er10 Tl2 Pb4'
_space_group_name_H-M_alt 'P 1'
_space_group_IT_number 1
_cell_length_a 8.203
_cell_length_b 8.203
_cell_length_c 8.959
_cell_angle_alpha 117.25
_cell_angle_beta 117.25
_cell_angle_gamma 90.00
loop_
_space_group_symop_operation_xyz
'x,y,z'
loop_
_atom_site_label
_atom_site_fract_x
_atom_site_fract_y
_atom_site_fract_z
Er1 0.502 0.693 0.695
Er2 0.807 0.998 0.305
Er3 0.000 0.000 0.000
Er4 0.500 0.500 0.000
Er5 0.193 0.002 0.695
Er6 0.693 0.193 0.695
Er7 0.002 0.502 0.695
Er8 0.307 0.807 0.305
Er9 0.998 0.498 0.305
Er10 0.498 0.307 0.305
Tl1 0.750 0.750 0.500
Tl2 0.250 0.250 0.500
Pb1 0.148 0.352 0.000
Pb2 0.648 0.148 0.000
Pb3 0.352 0.852 0.000
Pb4 0.852 0.648 0.000
```

Summary:
Its density of states at the Fermi level is 6.38 states/eV/f.u. Its total magnetization is 0.0 μB/f.u.

=====

[4]
Material: Er2TlPb
Method: DFT, PBE
State: relaxed

```
data_Er2TlPb
_chemical_formula_sum 'Er2 Tl1 Pb1'
_space_group_name_H-M_alt 'P 1'
_space_group_IT_number 1
_cell_length_a 3.762
_cell_length_b 3.762
_cell_length_c 9.706
_cell_angle_alpha 78.82
_cell_angle_beta 78.82
_cell_angle_gamma 60.00
loop_
_space_group_symop_operation_xyz
'x,y,z'
loop_
_atom_site_label
_atom_site_fract_x
_atom_site_fract_y
_atom_site_fract_z
Pb1 0.500 0.500 0.500
Tl1 0.000 0.000 0.000
Er1 0.251 0.251 0.248
Er2 0.749 0.749 0.752
```

Summary:
Its density of states at the Fermi level is 2.47 states/eV/f.u. Its total magnetization is 0.0 μB/f.u.

=====

[5]
Material: Er6Tl5Pb
Method: DFT, PBE
State: relaxed

```
data_Er6Tl5Pb
_chemical_formula_sum 'Er6 Tl5 Pb1'
_space_group_name_H-M_alt 'P 1'
_space_group_IT_number 1
_cell_length_a 9.879
_cell_length_b 6.455
_cell_length_c 6.386
_cell_angle_alpha 59.65
_cell_angle_beta 84.08
_cell_angle_gamma 78.23
loop_
_space_group_symop_operation_xyz
'x,y,z'
loop_
_atom_site_label
_atom_site_fract_x
_atom_site_fract_y
_atom_site_fract_z
Er1 0.747 0.085 0.335
Er2 0.253 0.579 0.335
Er3 0.251 0.250 0.000
Er4 0.749 0.750 0.000
Er5 0.747 0.421 0.665
Er6 0.253 0.915 0.665
Tl1 0.500 0.166 0.668
Tl2 0.000 0.333 0.335
Tl3 0.500 0.500 0.000
Tl4 0.000 0.667 0.665
Tl5 0.500 0.834 0.332
Pb1 0.000 0.000 0.000
```

Summary:
Its density of states at the Fermi level is 6.90 states/eV/f.u. Its total magnetization is 0.0 μB/f.u.

=====

[6]
Material: Er6Tl4Pb7
Method: DFT, PBE
State: relaxed

```
data_Er6Tl4Pb7
_chemical_formula_sum 'Er6 Tl4 Pb7'
_space_group_name_H-M_alt 'P 1'
_space_group_IT_number 1
_cell_length_a 8.680
_cell_length_b 8.680
_cell_length_c 8.680
_cell_angle_alpha 109.47
_cell_angle_beta 109.47
_cell_angle_gamma 109.47
loop_
_space_group_symop_operation_xyz
'x,y,z'
loop_
_atom_site_label
_atom_site_fract_x
_atom_site_fract_y
_atom_site_fract_z
Er1 0.708 0.000 0.708
Er2 0.708 0.708 0.000
Er3 0.000 0.292 0.292
Er4 0.292 0.000 0.292
Er5 0.292 0.292 0.000
Er6 0.000 0.708 0.708
Tl1 0.500 0.000 0.000
Tl2 0.500 0.500 0.500
Tl3 0.000 0.500 0.000
Tl4 0.000 0.000 0.500
Pb1 0.750 0.500 0.250
Pb2 0.250 0.750 0.500
Pb3 0.500 0.750 0.250
Pb4 0.750 0.250 0.500
Pb5 0.250 0.500 0.750
Pb6 0.500 0.250 0.750
Pb7 0.000 0.000 0.000
```

Summary:
Its density of states at the Fermi level is 15.54 states/eV/f.u. Its total magnetization is 0.0 μB/f.u.

=====

[7]
Material: ErTl2Pb
Method: DFT, PBE
State: relaxed

```
data_ErTl2Pb
_chemical_formula_sum 'Er1 Tl2 Pb1'
_space_group_name_H-M_alt 'P 1'
_space_group_IT_number 1
_cell_length_a 5.113
_cell_length_b 4.652
_cell_length_c 4.652
_cell_angle_alpha 90.00
_cell_angle_beta 90.00
_cell_angle_gamma 90.00
loop_
_space_group_symop_operation_xyz
'x,y,z'
loop_
_atom_site_label
_atom_site_fract_x
_atom_site_fract_y
_atom_site_fract_z
Pb1 0.500 0.500 0.500
Tl1 0.000 0.000 0.500
Tl2 0.000 0.500 0.000
Er1 0.500 0.000 0.000
```

Summary:
Its density of states at the Fermi level is 2.50 states/eV/f.u. Its total magnetization is 0.0 μB/f.u.

=====

[8]
Material: Er5Tl6Pb
Method: DFT, PBE
State: relaxed

```
data_Er5Tl6Pb
_chemical_formula_sum 'Er5 Tl6 Pb1'
_space_group_name_H-M_alt 'P 1'
_space_group_IT_number 1
_cell_length_a 4.880
_cell_length_b 8.937
_cell_length_c 9.012
_cell_angle_alpha 119.72
_cell_angle_beta 105.71
_cell_angle_gamma 90.00
loop_
_space_group_symop_operation_xyz
'x,y,z'
loop_
_atom_site_label
_atom_site_fract_x
_atom_site_fract_y
_atom_site_fract_z
Pb1 0.000 0.000 0.000
Tl1 0.172 0.431 0.343
Tl2 0.172 0.912 0.343
Tl3 0.500 0.274 0.000
Tl4 0.500 0.726 0.000
Tl5 0.828 0.088 0.657
Tl6 0.828 0.569 0.657
Er1 0.356 0.856 0.713
Er2 0.676 0.676 0.352
Er3 0.000 0.500 0.000
Er4 0.324 0.324 0.648
Er5 0.644 0.144 0.287
```

Summary:
Its density of states at the Fermi level is 7.86 states/eV/f.u. Its total magnetization is 0.0 μB/f.u.

=====

[9]
Material: Er5Tl2Pb
Method: DFT, PBE
State: relaxed

```
data_Er5Tl2Pb
_chemical_formula_sum 'Er10 Tl4 Pb2'
_space_group_name_H-M_alt 'P 1'
_space_group_IT_number 1
_cell_length_a 8.148
_cell_length_b 8.148
_cell_length_c 8.952
_cell_angle_alpha 117.07
_cell_angle_beta 117.07
_cell_angle_gamma 90.00
loop_
_space_group_symop_operation_xyz
'x,y,z'
loop_
_atom_site_label
_atom_site_fract_x
_atom_site_fract_y
_atom_site_fract_z
Er1 0.503 0.694 0.696
Er2 0.806 0.997 0.304
Er3 0.000 0.000 0.000
Er4 0.500 0.500 0.000
Er5 0.194 0.003 0.696
Er6 0.694 0.194 0.696
Er7 0.003 0.503 0.696
Er8 0.306 0.806 0.304
Er9 0.997 0.497 0.304
Er10 0.497 0.306 0.304
Tl1 0.141 0.359 0.000
Tl2 0.641 0.141 0.000
Tl3 0.359 0.859 0.000
Tl4 0.859 0.641 0.000
Pb1 0.750 0.750 0.500
Pb2 0.250 0.250 0.500
```

Summary:
Its density of states at the Fermi level is 7.06 states/eV/f.u. Its total magnetization is 0.0 μB/f.u.

=====

[10]
Material: Er2TlPb4
Method: DFT, PBE
State: relaxed

```
data_Er2TlPb4
_chemical_formula_sum 'Er2 Tl1 Pb4'
_space_group_name_H-M_alt 'P 1'
_space_group_IT_number 1
_cell_length_a 6.773
_cell_length_b 6.773
_cell_length_c 6.654
_cell_angle_alpha 120.57
_cell_angle_beta 120.57
_cell_angle_gamma 89.55
loop_
_space_group_symop_operation_xyz
'x,y,z'
loop_
_atom_site_label
_atom_site_fract_x
_atom_site_fract_y
_atom_site_fract_z
Pb1 0.786 0.786 0.072
Pb2 0.286 0.286 0.071
Pb3 0.786 0.286 0.071
Pb4 0.286 0.786 0.071
Tl1 0.786 0.786 0.571
Er1 0.286 0.786 0.571
Er2 0.786 0.286 0.571
```

Summary:
Its density of states at the Fermi level is 4.56 states/eV/f.u. Its total magnetization is 0.0 μB/f.u.

=====

Results for calculated formation energy: -0.273; -0.407; -0.377; -0.282; -0.265; -0.109; -0.202; -0.271; -0.342; -0.184 (in eV per atom, following the order of the records).